[1]
A relaxed structure of SrBeMo, computed with PBEsol.

## Properties
Space-group type ... I4mm
Magnetic moment ... 0.00 μB/cell
DOS at the Fermi energy ... 3.05 states/eV/cell
Total DFT energy (no corrections) ... -5.14 eV per atom
DFT formation energy ... 0.728 eV per atom
Density ... 5435 kg/m³

```
3
Lattice="-0.4689 3.0559 1.0403 -1.5684 -1.1345 2.6256 5.8017 -1.1689 0.9343" Properties=species:S:1:pos:R:3 pbc="T T T"
Mo 0.0304 0.9150 2.4398
Be 0.5654 -0.0246 0.3271
Sr 3.1687 -0.1379 1.8332
```

---

[2]
A relaxed structure of SrBeMo, computed with PBEsol.

## Properties
Space-group type ... F-43m
Magnetic moment ... 2.41 μB/cell
DOS at the Fermi energy ... 2.89 states/eV/cell
Total DFT energy (no corrections) ... -4.45 eV per atom
DFT formation energy ... 1.416 eV per atom
Density ... 4854 kg/m³

```
3
Lattice="-2.5666 -3.5596 -1.1367 0.8616 -4.0775 1.7838 -2.8529 -1.7972 3.0301" Properties=species:S:1:pos:R:3 pbc="T T T"
Mo 0.0000 0.0000 0.0000
Be -3.4184 -7.0757 2.7578
Sr -2.2789 -4.7171 1.8386
```

---

[3]
A relaxed structure of TaBe2Mo2, computed with PBEsol.

## Properties
Space-group type ... P4/mbm
Magnetic moment ... 0.00 μB/cell
DOS at the Fermi energy ... 3.67 states/eV/cell
Total DFT energy (no corrections) ... -9.06 eV per atom
DFT formation energy ... -0.239 eV per atom
Density ... 10243 kg/m³

```
10
Lattice="3.2217 0.0000 0.0000 0.0000 6.2716 0.0000 0.0000 0.0000 6.2716" Properties=species:S:1:pos:R:3 pbc="T T T"
Mo 1.6109 4.2465 5.1609
Mo 1.6109 2.0251 1.1107
Mo 1.6109 1.1107 4.2465
Mo 1.6109 5.1609 2.0251
Be 0.0000 2.4145 5.5503
Be 0.0000 3.8571 0.7213
Be 0.0000 0.7213 2.4145
Be 0.0000 5.5503 3.8571
Ta 0.0000 0.0000 0.0000
Ta 0.0000 3.1358 3.1358
```

---

[4]
A relaxed structure of TaBeMo2, computed with PBEsol.

## Properties
Space-group type ... Pmmm
Magnetic moment ... 0.00 μB/cell
DOS at the Fermi energy ... 2.13 states/eV/cell
Total DFT energy (no corrections) ... -9.94 eV per atom
DFT formation energy ... 0.086 eV per atom
Density ... 10989 kg/m³

```
4
Lattice="-0.0847 -2.8793 2.0070 -2.2005 -1.7998 -2.6750 3.4762 -1.4265 -1.8998" Properties=species:S:1:pos:R:3 pbc="T T T"
Mo 0.0000 0.0000 0.0000
Mo -1.1426 -2.3396 -0.3340
Ta 1.6957 -2.1529 0.0536
Be 0.6378 -1.6132 -2.2874
```